# 1
# EuHoPt4, relaxed, DFT PBE-GGA
# - ΔE_f: -1.035 eV/atom
# - V: 461.9 Å³/cell
data_EuHoPt4
_cell_length_a 7.730
_cell_length_b 7.730
_cell_length_c 7.730
_cell_angle_alpha 90.00
_cell_angle_beta 90.00
_cell_angle_gamma 90.00
_space_group_name_H-M_alt 'F -4 3 m'
_space_group_IT_number 216
_space_group_name_Hall 'F -4 2 3'
loop_
_atom_site_label
_atom_site_type_symbol
_atom_site_fract_x
_atom_site_fract_y
_atom_site_fract_z
Eu1 Eu 0.000 0.000 0.000
Ho1 Ho 0.250 0.250 0.250
Pt1 Pt 0.125 0.125 0.625

# 2
# EuHoPt, relaxed, DFT PBE-GGA
# - ΔE_f: -0.755 eV/atom
# - V: 339.8 Å³/cell
# - Distance to the lowest polymorph of the same formula: 0.00 eV/f.u.
data_EuHoPt
_cell_length_a 6.978
_cell_length_b 6.978
_cell_length_c 6.978
_cell_angle_alpha 90.00
_cell_angle_beta 90.00
_cell_angle_gamma 90.00
_space_group_name_H-M_alt 'F -4 3 m'
_space_group_IT_number 216
_space_group_name_Hall 'F -4 2 3'
loop_
_atom_site_label
_atom_site_type_symbol
_atom_site_fract_x
_atom_site_fract_y
_atom_site_fract_z
Eu1 Eu 0.000 0.000 0.000
Ho1 Ho 0.000 0.000 0.500
Pt1 Pt 0.250 0.250 0.250

# 3
# Eu2HoPt, relaxed, DFT PBE-GGA
# - ΔE_f: -0.189 eV/atom
# - V: 402.2 Å³/cell
data_Eu2HoPt
_cell_length_a 3.7991
_cell_length_b 3.7991
_cell_length_c 32.1739
_cell_angle_alpha 90.00
_cell_angle_beta 90.00
_cell_angle_gamma 120.00
_space_group_name_H-M_alt 'R -3 m'
_space_group_IT_number 166
_space_group_name_Hall '-R 3 2"'
loop_
_atom_site_label
_atom_site_type_symbol
_atom_site_fract_x
_atom_site_fract_y
_atom_site_fract_z
Eu1 Eu 0.0000 0.0000 0.1081
Ho1 Ho 0.0000 0.0000 0.0000
Pt1 Pt 0.0000 0.0000 0.5000

# 4
# EuHo2Pt, relaxed, DFT PBE-GGA
# - ΔE_f: -0.565 eV/atom
# - V: 401.8 Å³/cell
# - Distance to the lowest polymorph of the same formula: 0.07 eV/f.u.
data_EuHo2Pt
_cell_length_a 4.0805
_cell_length_b 4.0805
_cell_length_c 27.8663
_cell_angle_alpha 90.00
_cell_angle_beta 90.00
_cell_angle_gamma 120.00
_space_group_name_H-M_alt 'R -3 m'
_space_group_IT_number 166
_space_group_name_Hall '-R 3 2"'
loop_
_atom_site_label
_atom_site_type_symbol
_atom_site_fract_x
_atom_site_fract_y
_atom_site_fract_z
Eu1 Eu 0.0000 0.0000 0.0000
Ho1 Ho 0.0000 0.0000 0.2199
Pt1 Pt 0.0000 0.0000 0.5000

Q: Look up the ΔE_f of the second one.
A: -0.755 eV/atom

Q: Among the records above, which one has the highest ΔE_f?
A: Eu2HoPt

Q: Number 3 is which compound?
A: Eu2HoPt

Q: Among the records above, which one has the highest ΔE_f?
A: Eu2HoPt